No. 1
DFT (GGA-PBE) results for crystalline Sm3NpAg3Se8 at its relaxed geometry.

## Properties
- energy (eV per atom) = -5.370
- size of the total moment (μB/atom) = 0.20
- symmetry = C2/m (12)
- uncorrected formation energy (meV per atom) = -1134

a = 8.5084 Å, b = 8.5057 Å, c = 8.0620 Å
α = 121.96°, β = 90.00°, γ = 120.01°
Closest atoms and distances in Å follow each position.
Fractional positions:
Se  0.2444  0.4889  0.7445  1 Np 2.86, 2 Ag 2.93, 2 Sm 2.94
Se  0.7513  0.5025  0.7529  3 Ag 2.91-2.92, 3 Sm 2.94
Se  0.2434  0.9990  0.2554  1 Np 2.86, 2 Ag 2.91-2.93, 2 Sm 2.93-2.94
Se  0.7555  0.9990  0.2554  1 Np 2.86, 2 Ag 2.91-2.93, 2 Sm 2.93-2.94
Se  0.7566  0.0010  0.7446  1 Np 2.86, 2 Ag 2.91-2.93, 2 Sm 2.93-2.94
Se  0.2487  0.4975  0.2471  3 Ag 2.91-2.92, 3 Sm 2.94
Se  0.7556  0.5111  0.2555  1 Np 2.86, 2 Ag 2.93, 2 Sm 2.94
Se  0.2445  0.0010  0.7446  1 Np 2.86, 2 Ag 2.91-2.93, 2 Sm 2.93-2.94
Sm  0.5000  0.0000  0.5000  6 Se 2.94
Sm  0.5000  0.5000  0.5000  6 Se 2.93-2.94
Sm  0.0000  0.5000  0.5000  6 Se 2.93-2.94
Ag  0.5000  0.5000  0.0000  6 Se 2.91-2.93
Ag  0.0000  0.0000  0.0000  6 Se 2.91-2.93
Ag  0.0000  0.5000  0.0000  6 Se 2.91-2.93
Np  0.0000  0.0000  0.5000  6 Se 2.86

---

No. 2
DFT (GGA-PBE) results for crystalline Tb3NpAg3Se8 at its relaxed geometry.

## Properties
- energy (eV per atom) = -5.357
- size of the total moment (μB/atom) = 0.20
- symmetry = C2/m (12)
- uncorrected formation energy (meV per atom) = -1140

a = 8.3813 Å, b = 8.3796 Å, c = 8.0511 Å
α = 121.49°, β = 90.00°, γ = 120.01°
Closest atoms and distances in Å follow each position.
Fractional positions:
Se  0.2490  0.0028  0.2575  1 Np 2.86, 2 Tb 2.89, 2 Ag 2.91-2.92
Se  0.7538  0.0028  0.2575  1 Np 2.86, 2 Tb 2.89, 2 Ag 2.91-2.92
Se  0.2462  0.4924  0.7424  1 Np 2.86, 2 Tb 2.89, 2 Ag 2.93
Se  0.2462  0.9972  0.7425  1 Np 2.86, 2 Tb 2.89, 2 Ag 2.91-2.92
Se  0.7538  0.5076  0.2576  1 Np 2.86, 2 Tb 2.89, 2 Ag 2.93
Se  0.2502  0.5003  0.2515  3 Tb 2.90, 3 Ag 2.90-2.91
Se  0.7510  0.9972  0.7425  1 Np 2.86, 2 Tb 2.89, 2 Ag 2.91-2.92
Se  0.7498  0.4997  0.7485  3 Tb 2.90, 3 Ag 2.90-2.91
Tb  0.5000  0.0000  0.5000  6 Se 2.89-2.90
Tb  0.0000  0.5000  0.5000  6 Se 2.89-2.90
Tb  0.5000  0.5000  0.5000  6 Se 2.89-2.90
Np  0.0000  0.0000  0.5000  6 Se 2.86
Ag  0.5000  0.5000  0.0000  6 Se 2.91-2.93
Ag  0.0000  0.0000  0.0000  6 Se 2.90-2.92
Ag  0.0000  0.5000  0.0000  6 Se 2.91-2.93

---

No. 3
DFT (GGA-PBE) results for crystalline Tb2NpAg3Se6 at its relaxed geometry.

## Properties
- energy (eV per atom) = -5.309
- size of the total moment (μB/atom) = 0.33
- symmetry = C2/m (12)
- uncorrected formation energy (meV per atom) = -1004

a = 4.2156 Å, b = 8.0015 Å, c = 9.1022 Å
α = 98.80°, β = 103.39°, γ = 90.00°
Closest atoms and distances in Å follow each position.
Fractional positions:
Se  0.9983  0.7481  0.9966  3 Ag 2.82-2.90, 1 Tb 2.90, 2 Np 2.91
Se  0.3315  0.4094  0.6631  3 Tb 2.88-2.89, 3 Ag 2.96-3.03
Se  0.0017  0.2519  0.0034  3 Ag 2.82-2.90, 1 Tb 2.90, 2 Np 2.91
Se  0.3321  0.9062  0.6642  3 Ag 2.82-3.05, 2 Tb 2.90, 1 Np 2.95
Se  0.6679  0.0938  0.3358  3 Ag 2.82-3.05, 2 Tb 2.90, 1 Np 2.95
Se  0.6685  0.5906  0.3369  3 Tb 2.88-2.89, 3 Ag 2.96-3.03
Ag  0.5000  0.5000  0.0000  6 Se 2.90-2.96
Ag  0.1577  0.8576  0.3154  6 Se 2.82-3.05
Ag  0.8423  0.1424  0.6846  6 Se 2.82-3.05
Tb  0.1668  0.3422  0.3336  6 Se 2.88-2.90
Tb  0.8332  0.6579  0.6664  6 Se 2.88-2.90
Np  0.5000  0.0000  0.0000  6 Se 2.91-2.95

---

No. 4
DFT (GGA-PBE) results for crystalline NpAgTeSe at its relaxed geometry.

## Properties
- energy (eV per atom) = -6.121
- size of the total moment (μB/atom) = 1.00
- symmetry = P4/nmm (129)
- uncorrected formation energy (meV per atom) = -517

a = 4.5975 Å, b = 4.5975 Å, c = 9.6230 Å
α = 90.00°, β = 90.00°, γ = 90.00°
Closest atoms and distances in Å follow each position.
Fractional positions:
Ag  0.0000  0.0000  0.5000  4 Te 2.92, 4 Ag 3.25
Ag  0.5000  0.5000  0.5000  4 Te 2.92, 4 Ag 3.25
Te  0.0000  0.5000  0.3126  4 Ag 2.92
Te  0.5000  0.0000  0.6874  4 Ag 2.92
Np  0.0000  0.5000  0.8229  4 Se 2.86
Np  0.5000  0.0000  0.1771  4 Se 2.86
Se  0.5000  0.5000  0.0000  4 Np 2.86
Se  0.0000  0.0000  0.0000  4 Np 2.86

---

No. 5
DFT (GGA-PBE) results for crystalline Np3TiAg3Se8 at its relaxed geometry.

## Properties
- energy (eV per atom) = -6.308
- size of the total moment (μB/atom) = 0.80
- symmetry = C2/m (12)
- uncorrected formation energy (meV per atom) = -765

a = 8.1916 Å, b = 8.1921 Å, c = 8.0465 Å
α = 120.72°, β = 90.00°, γ = 120.00°
Closest atoms and distances in Å follow each position.
Fractional positions:
Ti  0.0000  0.0000  0.5000  6 Se 2.67
Np  0.0000  0.5000  0.5000  6 Se 2.86-2.87
Np  0.5000  0.5000  0.5000  6 Se 2.86-2.87
Np  0.5000  0.0000  0.5000  6 Se 2.86-2.87
Se  0.2332  0.4664  0.7319  1 Ti 2.67, 2 Np 2.87, 2 Ag 2.88
Se  0.7495  0.4990  0.7477  3 Np 2.86, 3 Ag 2.87-2.88
Se  0.7665  0.9996  0.7319  1 Ti 2.67, 2 Ag 2.87-2.88, 2 Np 2.87
Se  0.2331  0.9996  0.7319  1 Ti 2.67, 2 Ag 2.87-2.88, 2 Np 2.87
Se  0.2335  0.0004  0.2681  1 Ti 2.67, 2 Ag 2.87-2.88, 2 Np 2.87
Se  0.7668  0.5336  0.2681  1 Ti 2.67, 2 Np 2.87, 2 Ag 2.88
Se  0.7669  0.0004  0.2681  1 Ti 2.67, 2 Ag 2.87-2.88, 2 Np 2.87
Se  0.2505  0.5010  0.2523  3 Np 2.86, 3 Ag 2.87-2.88
Ag  0.0000  0.5000  0.0000  6 Se 2.87-2.88
Ag  0.0000  0.0000  0.0000  6 Se 2.87-2.88
Ag  0.5000  0.5000  0.0000  6 Se 2.87-2.88

---

No. 6
DFT (GGA-PBE) results for crystalline NpTlAg2Se4 at its relaxed geometry.

## Properties
- energy (eV per atom) = -4.709
- size of the total moment (μB/atom) = 0.33
- symmetry = I222 (23)
- uncorrected formation energy (meV per atom) = -340

a = 7.0753 Å, b = 6.5098 Å, c = 6.5098 Å
α = 70.58°, β = 57.08°, γ = 57.08°
Closest atoms and distances in Å follow each position.
Fractional positions:
Ag  0.8152  0.6848  0.6848  4 Se 2.60-2.80
Ag  0.1848  0.3152  0.3152  4 Se 2.60-2.80
Se  0.0936  0.9102  0.4481  2 Ag 2.60-2.80, 1 Np 2.76
Se  0.9064  0.5519  0.0898  2 Ag 2.60-2.80, 1 Np 2.76
Se  0.5481  0.4481  0.9102  2 Ag 2.60-2.80, 1 Np 2.76
Se  0.4519  0.0898  0.5519  2 Ag 2.60-2.80, 1 Np 2.76
Tl  0.0000  0.0000  0.0000  8 Se 3.14-3.48
Np  0.5000  0.5000  0.5000  4 Se 2.76

---

No. 7
DFT (GGA-PBE) results for crystalline NpTl2AgSe4 at its relaxed geometry.

## Properties
- energy (eV per atom) = -4.883
- size of the total moment (μB/atom) = 0.25
- symmetry = P2/m (10)
- uncorrected formation energy (meV per atom) = -576

a = 4.1971 Å, b = 8.1086 Å, c = 6.8180 Å
α = 72.73°, β = 90.00°, γ = 90.00°
Closest atoms and distances in Å follow each position.
Fractional positions:
Tl  0.5000  0.0000  0.5000  6 Se 3.21-3.26
Tl  0.0000  0.0000  0.0000  6 Se 3.31-3.32
Se  0.0000  0.2943  0.2493  1 Np 2.72, 2 Ag 2.90
Se  0.0000  0.7057  0.7507  1 Np 2.72, 2 Ag 2.90
Se  0.5000  0.7046  0.2743  2 Np 2.83, 1 Ag 2.84
Se  0.5000  0.2954  0.7257  2 Np 2.83, 1 Ag 2.84
Np  0.0000  0.5000  0.5000  6 Se 2.72-2.83
Ag  0.5000  0.5000  0.0000  6 Se 2.84-2.90

---

No. 8
DFT (GGA-PBE) results for crystalline Np3Tl3AgSe8 at its relaxed geometry.

## Properties
- energy (eV per atom) = -5.874
- size of the total moment (μB/atom) = 0.60
- symmetry = R-3m (166)
- uncorrected formation energy (meV per atom) = -764

a = 8.2191 Å, b = 8.2139 Å, c = 9.1166 Å
α = 116.74°, β = 90.00°, γ = 120.02°
Closest atoms and distances in Å follow each position.
Fractional positions:
Se  0.2646  0.5293  0.2939  3 Np 2.86
Se  0.2805  0.0388  0.2971  2 Np 2.81, 1 Ag 2.94
Se  0.7590  0.5180  0.2977  2 Np 2.81, 1 Ag 2.93
Se  0.2417  0.9612  0.7029  2 Np 2.81, 1 Ag 2.94
Se  0.7195  0.9612  0.7029  2 Np 2.81, 1 Ag 2.94
Se  0.2410  0.4820  0.7023  2 Np 2.81, 1 Ag 2.93
Se  0.7354  0.4707  0.7061  3 Np 2.86
Se  0.7583  0.0388  0.2971  2 Np 2.81, 1 Ag 2.94
Np  0.5000  0.0000  0.5000  6 Se 2.81-2.86
Np  0.5000  0.5000  0.5000  6 Se 2.81-2.86
Np  0.0000  0.5000  0.5000  6 Se 2.81-2.86
Tl  0.0000  0.5000  0.0000  6 Se 3.30-3.35
Tl  0.5000  0.5000  0.0000  6 Se 3.30-3.35
Tl  0.0000  0.0000  0.0000  6 Se 3.30-3.35
Ag  0.0000  0.0000  0.5000  6 Se 2.93-2.94

---

No. 9
DFT (GGA-PBE) results for crystalline Np2Tl2AgSe6 at its relaxed geometry.

## Properties
- energy (eV per atom) = -5.672
- size of the total moment (μB/atom) = 0.45
- symmetry = C2/m (12)
- uncorrected formation energy (meV per atom) = -729

a = 7.1061 Å, b = 7.1061 Å, c = 8.1290 Å
α = 97.57°, β = 97.57°, γ = 121.28°
Closest atoms and distances in Å follow each position.
Fractional positions:
Se  0.2793  0.2793  0.3032  2 Np 2.79, 1 Ag 2.83
Se  0.9382  0.5799  0.2939  2 Np 2.78-2.80, 1 Ag 3.01
Se  0.4201  0.0618  0.7061  2 Np 2.78-2.80, 1 Ag 3.01
Se  0.5799  0.9382  0.2939  2 Np 2.78-2.80, 1 Ag 3.01
Se  0.7207  0.7207  0.6968  2 Np 2.79, 1 Ag 2.83
Se  0.0618  0.4201  0.7061  2 Np 2.78-2.80, 1 Ag 3.01
Ag  0.0000  0.0000  0.5000  6 Se 2.83-3.01
Np  0.3349  0.6651  0.5000  6 Se 2.78-2.80
Np  0.6651  0.3349  0.5000  6 Se 2.78-2.80
Tl  0.1597  0.8403  0.0000  6 Se 3.26-3.35
Tl  0.8403  0.1597  0.0000  6 Se 3.26-3.35

---

No. 10
DFT (GGA-PBE) results for crystalline NpTl2Ag2Se4 at its relaxed geometry.

## Properties
- energy (eV per atom) = -4.714
- size of the total moment (μB/atom) = 0.33
- symmetry = C2/m (12)
- uncorrected formation energy (meV per atom) = -568

a = 4.2438 Å, b = 7.9955 Å, c = 7.9764 Å
α = 110.08°, β = 105.43°, γ = 90.00°
Closest atoms and distances in Å follow each position.
Fractional positions:
Tl  0.8632  0.4229  0.7264  7 Se 3.32-3.60, 3 Ag 3.65-3.72
Tl  0.1368  0.5771  0.2736  7 Se 3.32-3.60, 3 Ag 3.65-3.72
Se  0.1954  0.2024  0.3907  3 Ag 2.72-2.80, 1 Np 2.86
Se  0.5048  0.7619  0.0096  1 Ag 2.64, 2 Np 2.87
Se  0.8046  0.7976  0.6093  3 Ag 2.72-2.80, 1 Np 2.86
Se  0.4952  0.2381  0.9904  1 Ag 2.64, 2 Np 2.87
Ag  0.3201  0.0193  0.6402  4 Se 2.64-2.80
Ag  0.6799  0.9807  0.3598  4 Se 2.64-2.80
Np  0.0000  0.0000  0.0000  6 Se 2.86-2.87

---

No. 11
DFT (GGA-PBE) results for crystalline Tm2NpAg3Se6 at its relaxed geometry.

## Properties
- energy (eV per atom) = -5.271
- size of the total moment (μB/atom) = 0.33
- symmetry = C2/m (12)
- uncorrected formation energy (meV per atom) = -992

a = 4.1671 Å, b = 8.0188 Å, c = 9.0463 Å
α = 99.69°, β = 103.32°, γ = 90.00°
Closest atoms and distances in Å follow each position.
Fractional positions:
Tm  0.1674  0.3438  0.3349  6 Se 2.83-2.86
Tm  0.8326  0.6562  0.6651  6 Se 2.83-2.86
Se  0.6694  0.5872  0.3388  3 Tm 2.83-2.85, 3 Ag 2.94-3.04
Se  0.6693  0.1001  0.3386  3 Ag 2.83-3.01, 2 Tm 2.86, 1 Np 2.95
Se  0.3306  0.4128  0.6612  3 Tm 2.83-2.85, 3 Ag 2.94-3.04
Se  0.0031  0.2538  0.0063  3 Ag 2.82-2.88, 1 Tm 2.86, 2 Np 2.91
Se  0.9969  0.7462  0.9937  3 Ag 2.82-2.88, 1 Tm 2.86, 2 Np 2.91
Se  0.3307  0.8999  0.6614  3 Ag 2.83-3.01, 2 Tm 2.86, 1 Np 2.95
Np  0.5000  0.0000  0.0000  6 Se 2.91-2.95
Ag  0.5000  0.5000  0.0000  6 Se 2.88-2.94
Ag  0.8423  0.1415  0.6847  6 Se 2.82-3.04
Ag  0.1577  0.8585  0.3153  6 Se 2.82-3.04

---

No. 12
DFT (GGA-PBE) results for crystalline Sm2NpAg3Te6 at its relaxed geometry.

## Properties
- energy (eV per atom) = -4.842
- size of the total moment (μB/atom) = 0.33
- symmetry = C2/m (12)
- uncorrected formation energy (meV per atom) = -694

a = 4.4765 Å, b = 8.4485 Å, c = 10.2987 Å
α = 102.34°, β = 102.55°, γ = 90.00°
Closest atoms and distances in Å follow each position.
Fractional positions:
Ag  0.5000  0.5000  0.0000  6 Te 3.05-3.17
Ag  0.2097  0.7645  0.4195  3 Te 2.78-2.81
Ag  0.7903  0.2355  0.5805  3 Te 2.78-2.81
Te  0.9872  0.7368  0.9744  2 Ag 3.05, 2 Np 3.13, 1 Sm 3.16
Te  0.6617  0.5728  0.3235  2 Ag 2.81
Te  0.3409  0.9574  0.6819  1 Ag 2.78
Te  0.3383  0.4272  0.6765  2 Ag 2.81
Te  0.6591  0.0426  0.3181  1 Ag 2.78
Te  0.0128  0.2632  0.0256  2 Ag 3.05, 2 Np 3.13, 1 Sm 3.16
Sm  0.1731  0.3104  0.3461  6 Te 3.15-3.25, 2 Ag 3.41
Sm  0.8269  0.6896  0.6539  6 Te 3.15-3.25, 2 Ag 3.41
Np  0.5000  0.0000  0.0000  6 Te 3.13-3.14

---

size of the total moment of number 10 (NpTl2Ag2Se4)?
0.33 μB/atom

---

Copy entry 9 word for word.
DFT (GGA-PBE) results for crystalline Np2Tl2AgSe6 at its relaxed geometry.

## Properties
- energy (eV per atom) = -5.672
- size of the total moment (μB/atom) = 0.45
- symmetry = C2/m (12)
- uncorrected formation energy (meV per atom) = -729

a = 7.1061 Å, b = 7.1061 Å, c = 8.1290 Å
α = 97.57°, β = 97.57°, γ = 121.28°
Closest atoms and distances in Å follow each position.
Fractional positions:
Se  0.2793  0.2793  0.3032  2 Np 2.79, 1 Ag 2.83
Se  0.9382  0.5799  0.2939  2 Np 2.78-2.80, 1 Ag 3.01
Se  0.4201  0.0618  0.7061  2 Np 2.78-2.80, 1 Ag 3.01
Se  0.5799  0.9382  0.2939  2 Np 2.78-2.80, 1 Ag 3.01
Se  0.7207  0.7207  0.6968  2 Np 2.79, 1 Ag 2.83
Se  0.0618  0.4201  0.7061  2 Np 2.78-2.80, 1 Ag 3.01
Ag  0.0000  0.0000  0.5000  6 Se 2.83-3.01
Np  0.3349  0.6651  0.5000  6 Se 2.78-2.80
Np  0.6651  0.3349  0.5000  6 Se 2.78-2.80
Tl  0.1597  0.8403  0.0000  6 Se 3.26-3.35
Tl  0.8403  0.1597  0.0000  6 Se 3.26-3.35